LaYPd4 after structural relaxation. Source: the Alexandria database, functional PBE.

The structure in CIF format:
```
data_LaYPd4
_chemical_formula_sum 'La2 Y2 Pd8'
_symmetry_space_group_name_H-M 'P 1'
_symmetry_Int_Tables_number 1
_cell_length_a 4.269
_cell_length_b 5.911
_cell_length_c 10.064
_cell_angle_alpha 90.00
_cell_angle_beta 102.25
_cell_angle_gamma 90.00
loop_
_symmetry_equiv_pos_as_xyz
'x,y,z'
loop_
_atom_site_label
_atom_site_type_symbol
_atom_site_fract_x
_atom_site_fract_y
_atom_site_fract_z
_atom_site_occupancy
Pd1 Pd 0.851 0.517 0.702 1
Pd2 Pd 0.575 0.250 0.150 1
Pd3 Pd 0.425 0.750 0.850 1
Pd4 Pd 0.149 0.483 0.298 1
La1 La 0.580 0.750 0.160 1
Y1 Y 0.275 0.750 0.549 1
La2 La 0.420 0.250 0.840 1
Pd5 Pd 0.149 0.017 0.298 1
Pd6 Pd 0.851 0.983 0.702 1
Y2 Y 0.725 0.250 0.451 1
Pd7 Pd 0.000 0.500 0.000 1
Pd8 Pd 0.000 0.000 0.000 1
```

Properties
**Formation energy from the elements**: -0.840 eV per atom
**Energy above the most stable polymorph in this dataset**: 0.0 kJ per mole of atoms
**Total DFT energy (no corrections)**: -74.408 eV per cell
**Total magnetization**: 0.00 μB per cell


LaY2Pd after structural relaxation. Source: the Alexandria database, functional PBE.

The structure in CIF format:
```
data_LaY2Pd
_chemical_formula_sum 'La4 Y8 Pd4'
_symmetry_space_group_name_H-M 'P 1'
_symmetry_Int_Tables_number 1
_cell_length_a 6.616
_cell_length_b 7.191
_cell_length_c 9.891
_cell_angle_alpha 90.00
_cell_angle_beta 90.00
_cell_angle_gamma 90.00
loop_
_symmetry_equiv_pos_as_xyz
'x,y,z'
loop_
_atom_site_label
_atom_site_type_symbol
_atom_site_fract_x
_atom_site_fract_y
_atom_site_fract_z
_atom_site_occupancy
La1 La 0.861 0.021 0.250 1
Y1 Y 0.329 0.176 0.062 1
Pd1 Pd 0.572 0.117 0.750 1
La2 La 0.639 0.521 0.250 1
Y2 Y 0.671 0.824 0.938 1
La3 La 0.361 0.479 0.750 1
Y3 Y 0.171 0.676 0.438 1
Pd2 Pd 0.428 0.883 0.250 1
La4 La 0.139 0.979 0.750 1
Y4 Y 0.329 0.176 0.438 1
Y5 Y 0.829 0.324 0.938 1
Y6 Y 0.829 0.324 0.562 1
Y7 Y 0.671 0.824 0.562 1
Y8 Y 0.171 0.676 0.062 1
Pd3 Pd 0.072 0.383 0.250 1
Pd4 Pd 0.928 0.617 0.750 1
```

Properties
**Formation energy from the elements**: -0.451 eV per atom
**Energy above the most stable polymorph in this dataset**: 0.0 kJ per mole of atoms
**Total DFT energy (no corrections)**: -99.415 eV per cell
**Total magnetization**: 0.00 μB per cell


La5Zn4Pd after structural relaxation. Source: the Alexandria database, functional PBE.

The structure in CIF format:
```
data_La5Zn4Pd
_chemical_formula_sum 'La5 Zn4 Pd1'
_symmetry_space_group_name_H-M 'P 1'
_symmetry_Int_Tables_number 1
_cell_length_a 3.768
_cell_length_b 3.768
_cell_length_c 18.526
_cell_angle_alpha 90.00
_cell_angle_beta 90.00
_cell_angle_gamma 90.00
loop_
_symmetry_equiv_pos_as_xyz
'x,y,z'
loop_
_atom_site_label
_atom_site_type_symbol
_atom_site_fract_x
_atom_site_fract_y
_atom_site_fract_z
_atom_site_occupancy
Zn1 Zn 0.000 0.000 0.602 1
La1 La 0.500 0.500 0.094 1
La2 La 0.500 0.500 0.500 1
Zn2 Zn 0.000 0.000 0.199 1
La3 La 0.500 0.500 0.298 1
La4 La 0.500 0.500 0.906 1
La5 La 0.500 0.500 0.702 1
Pd1 Pd 0.000 0.000 0.000 1
Zn3 Zn 0.000 0.000 0.398 1
Zn4 Zn 0.000 0.000 0.801 1
```

Properties
**Formation energy from the elements**: -0.401 eV per atom
**Total DFT energy (no corrections)**: -38.939 eV per cell
**Total magnetization**: 0.00 μB per cell


LaZnPd after structural relaxation. Source: the Alexandria database, functional PBE.

The structure in CIF format:
```
data_LaZnPd
_chemical_formula_sum 'La4 Zn4 Pd4'
_symmetry_space_group_name_H-M 'P 1'
_symmetry_Int_Tables_number 1
_cell_length_a 4.376
_cell_length_b 7.268
_cell_length_c 8.281
_cell_angle_alpha 90.00
_cell_angle_beta 90.00
_cell_angle_gamma 90.00
loop_
_symmetry_equiv_pos_as_xyz
'x,y,z'
loop_
_atom_site_label
_atom_site_type_symbol
_atom_site_fract_x
_atom_site_fract_y
_atom_site_fract_z
_atom_site_occupancy
Pd1 Pd 0.250 0.765 0.887 1
Pd2 Pd 0.750 0.735 0.387 1
Zn1 Zn 0.250 0.146 0.933 1
La1 La 0.750 0.462 0.806 1
Zn2 Zn 0.250 0.646 0.567 1
Zn3 Zn 0.750 0.354 0.433 1
La2 La 0.250 0.038 0.306 1
La3 La 0.250 0.538 0.194 1
La4 La 0.750 0.962 0.694 1
Zn4 Zn 0.750 0.854 0.067 1
Pd3 Pd 0.750 0.235 0.113 1
Pd4 Pd 0.250 0.265 0.613 1
```

Properties
**Formation energy from the elements**: -0.707 eV per atom
**Total DFT energy (no corrections)**: -54.055 eV per cell
**Total magnetization**: 0.00 μB per cell


La2Zn7Pd after structural relaxation. Source: the Alexandria database, functional PBE.

The structure in CIF format:
```
data_La2Zn7Pd
_chemical_formula_sum 'La2 Zn7 Pd1'
_symmetry_space_group_name_H-M 'P 1'
_symmetry_Int_Tables_number 1
_cell_length_a 4.404
_cell_length_b 4.404
_cell_length_c 10.228
_cell_angle_alpha 90.00
_cell_angle_beta 90.00
_cell_angle_gamma 90.00
loop_
_symmetry_equiv_pos_as_xyz
'x,y,z'
loop_
_atom_site_label
_atom_site_type_symbol
_atom_site_fract_x
_atom_site_fract_y
_atom_site_fract_z
_atom_site_occupancy
Zn1 Zn 0.000 0.500 0.628 1
Zn2 Zn 0.000 0.000 0.000 1
La1 La 0.000 0.500 0.248 1
Zn3 Zn 0.500 0.000 0.372 1
Zn4 Zn 0.500 0.000 0.129 1
Zn5 Zn 0.000 0.000 0.500 1
Pd1 Pd 0.500 0.500 0.000 1
La2 La 0.500 0.000 0.752 1
Zn6 Zn 0.500 0.500 0.500 1
Zn7 Zn 0.000 0.500 0.871 1
```

Properties
**Formation energy from the elements**: -0.388 eV per atom
**Total DFT energy (no corrections)**: -27.850 eV per cell
**Total magnetization**: 0.00 μB per cell


LaZn11Pd after structural relaxation. Source: the Alexandria database, functional PBE.

The structure in CIF format:
```
data_LaZn11Pd
_chemical_formula_sum 'La1 Zn11 Pd1'
_symmetry_space_group_name_H-M 'P 1'
_symmetry_Int_Tables_number 1
_cell_length_a 5.139
_cell_length_b 6.932
_cell_length_c 6.965
_cell_angle_alpha 82.12
_cell_angle_beta 68.35
_cell_angle_gamma 68.19
loop_
_symmetry_equiv_pos_as_xyz
'x,y,z'
loop_
_atom_site_label
_atom_site_type_symbol
_atom_site_fract_x
_atom_site_fract_y
_atom_site_fract_z
_atom_site_occupancy
Pd1 Pd 0.500 0.500 0.000 1
Zn1 Zn 0.000 0.000 0.500 1
Zn2 Zn 0.725 0.776 0.776 1
Zn3 Zn 0.500 0.000 0.500 1
Zn4 Zn 0.988 0.359 0.647 1
Zn5 Zn 0.000 0.500 0.000 1
Zn6 Zn 0.275 0.224 0.224 1
La1 La 0.000 0.000 0.000 1
Zn7 Zn 0.364 0.641 0.647 1
Zn8 Zn 0.636 0.359 0.353 1
Zn9 Zn 0.500 0.224 0.776 1
Zn10 Zn 0.500 0.776 0.224 1
Zn11 Zn 0.012 0.641 0.353 1
```

Properties
**Formation energy from the elements**: -0.263 eV per atom
**Total DFT energy (no corrections)**: -27.555 eV per cell
**Total magnetization**: 0.00 μB per cell


La2Zn6Pd3 after structural relaxation. Source: the Alexandria database, functional PBE.

The structure in CIF format:
```
data_La2Zn6Pd3
_chemical_formula_sum 'La2 Zn6 Pd3'
_symmetry_space_group_name_H-M 'P 1'
_symmetry_Int_Tables_number 1
_cell_length_a 4.094
_cell_length_b 7.796
_cell_length_c 7.796
_cell_angle_alpha 120.00
_cell_angle_beta 90.00
_cell_angle_gamma 90.00
loop_
_symmetry_equiv_pos_as_xyz
'x,y,z'
loop_
_atom_site_label
_atom_site_type_symbol
_atom_site_fract_x
_atom_site_fract_y
_atom_site_fract_z
_atom_site_occupancy
Zn1 Zn 0.500 0.728 0.728 1
La1 La 0.000 0.333 0.667 1
Zn2 Zn 0.500 0.000 0.272 1
Zn3 Zn 0.000 0.810 0.000 1
Pd1 Pd 0.500 0.607 0.000 1
La2 La 0.000 0.667 0.333 1
Zn4 Zn 0.000 0.000 0.810 1
Zn5 Zn 0.000 0.190 0.190 1
Zn6 Zn 0.500 0.272 0.000 1
Pd2 Pd 0.500 0.000 0.607 1
Pd3 Pd 0.500 0.393 0.393 1
```

Properties
**Formation energy from the elements**: -0.512 eV per atom
**Total DFT energy (no corrections)**: -38.711 eV per cell
**Total magnetization**: 0.00 μB per cell


La3Zn3Pd8 after structural relaxation. Source: the Alexandria database, functional PBE.

The structure in CIF format:
```
data_La3Zn3Pd8
_chemical_formula_sum 'La3 Zn3 Pd8'
_symmetry_space_group_name_H-M 'P 1'
_symmetry_Int_Tables_number 1
_cell_length_a 4.491
_cell_length_b 8.268
_cell_length_c 8.436
_cell_angle_alpha 66.59
_cell_angle_beta 74.56
_cell_angle_gamma 74.24
loop_
_symmetry_equiv_pos_as_xyz
'x,y,z'
loop_
_atom_site_label
_atom_site_type_symbol
_atom_site_fract_x
_atom_site_fract_y
_atom_site_fract_z
_atom_site_occupancy
Pd1 Pd 0.123 0.155 0.599 1
Zn1 Zn 0.000 0.500 0.500 1
Zn2 Zn 0.326 0.340 0.008 1
Pd2 Pd 0.874 0.411 0.841 1
Pd3 Pd 0.660 0.952 0.728 1
La1 La 0.000 0.000 0.000 1
Pd4 Pd 0.340 0.048 0.272 1
La2 La 0.699 0.277 0.325 1
Pd5 Pd 0.497 0.326 0.681 1
Pd6 Pd 0.877 0.845 0.401 1
Pd7 Pd 0.126 0.589 0.159 1
Pd8 Pd 0.503 0.674 0.319 1
Zn3 Zn 0.674 0.660 0.992 1
La3 La 0.301 0.723 0.675 1
```

Properties
**Formation energy from the elements**: -0.720 eV per atom
**Energy above the most stable polymorph in this dataset**: 0.0 kJ per mole of atoms
**Total DFT energy (no corrections)**: -70.230 eV per cell
**Total magnetization**: 0.00 μB per cell


LaZnPd after structural relaxation. Source: the Alexandria database, functional PBE.

The structure in CIF format:
```
data_LaZnPd
_chemical_formula_sum 'La1 Zn1 Pd1'
_symmetry_space_group_name_H-M 'P 1'
_symmetry_Int_Tables_number 1
_cell_length_a 4.758
_cell_length_b 4.758
_cell_length_c 4.758
_cell_angle_alpha 60.00
_cell_angle_beta 60.00
_cell_angle_gamma 60.00
loop_
_symmetry_equiv_pos_as_xyz
'x,y,z'
loop_
_atom_site_label
_atom_site_type_symbol
_atom_site_fract_x
_atom_site_fract_y
_atom_site_fract_z
_atom_site_occupancy
Zn1 Zn 0.000 0.000 0.000 1
La1 La 0.500 0.500 0.500 1
Pd1 Pd 0.250 0.250 0.250 1
```

Properties
**Formation energy from the elements**: -0.526 eV per atom
**Total DFT energy (no corrections)**: -12.973 eV per cell
**Total magnetization**: 0.00 μB per cell


LaZn2Pd4 after structural relaxation. Source: the Alexandria database, functional PBE.

The structure in CIF format:
```
data_LaZn2Pd4
_chemical_formula_sum 'La1 Zn2 Pd4'
_symmetry_space_group_name_H-M 'P 1'
_symmetry_Int_Tables_number 1
_cell_length_a 6.151
_cell_length_b 6.151
_cell_length_c 6.151
_cell_angle_alpha 100.12
_cell_angle_beta 100.12
_cell_angle_gamma 130.44
loop_
_symmetry_equiv_pos_as_xyz
'x,y,z'
loop_
_atom_site_label
_atom_site_type_symbol
_atom_site_fract_x
_atom_site_fract_y
_atom_site_fract_z
_atom_site_occupancy
Pd1 Pd 0.732 0.500 0.232 1
Zn1 Zn 0.250 0.750 0.500 1
Zn2 Zn 0.750 0.250 0.500 1
La1 La 0.000 0.000 0.000 1
Pd2 Pd 0.500 0.268 0.768 1
Pd3 Pd 0.268 0.500 0.768 1
Pd4 Pd 0.500 0.732 0.232 1
```

Properties
**Formation energy from the elements**: -0.121 eV per atom
**Total DFT energy (no corrections)**: -29.090 eV per cell
**Total magnetization**: 0.00 μB per cell


> Look up the total magnetization of the second one.

0.00 μB per cell